The following is a DFT calculation (PBE) of a relaxed Ti4InRh2 crystal.

a = 4.0374 Å, b = 4.0374 Å, c = 28.7895 Å
α = 90.00°, β = 90.00°, γ = 120.00°
Space group R-3m (No. 166, hexagonal axes)
Inequivalent atoms, fractional coordinates:
Ti: 0.0000 0.0000 0.1016 [6 per cell]
Ti: 0.0000 0.0000 0.3024 [6 per cell]
In: 0.0000 0.0000 0.5000 [3 per cell]
Rh: 0.0000 0.0000 0.3989 [6 per cell]

- Energy of formation: -17.1 kJ/mol of atoms



The following is a DFT calculation (PBE) of a relaxed ZrTiRh2C crystal.

a = 4.818 Å, b = 4.818 Å, c = 4.212 Å
α = 90.00°, β = 90.00°, γ = 90.00°
Space group P4/mmm (No. 123)
Inequivalent atoms, fractional coordinates:
Zr: 0.000 0.000 0.000 [1 per cell]
Ti: 0.500 0.500 0.500 [1 per cell]
Rh: 0.000 0.500 0.000 [2 per cell]
C: 0.000 0.000 0.500 [1 per cell]

- Energy of formation: 124.0 kJ/mol of atoms



The following is a DFT calculation (PBE) of a relaxed Tl2In4Sn crystal.

a = 5.543 Å, b = 22.793 Å, c = 3.212 Å
α = 90.00°, β = 90.00°, γ = 90.00°
Space group Cmmm (No. 65)
Inequivalent atoms, fractional coordinates:
Tl: 0.000 0.210 0.000 [4 per cell]
In: 0.000 0.073 0.500 [4 per cell]
In: 0.000 0.367 0.000 [4 per cell]
Sn: 0.000 0.500 0.500 [2 per cell]

- Energy of formation: 4.1 kJ/mol of atoms



Repeat the first record exactly.
The following is a DFT calculation (PBE) of a relaxed Ti4InRh2 crystal.

a = 4.0374 Å, b = 4.0374 Å, c = 28.7895 Å
α = 90.00°, β = 90.00°, γ = 120.00°
Space group R-3m (No. 166, hexagonal axes)
Inequivalent atoms, fractional coordinates:
Ti: 0.0000 0.0000 0.1016 [6 per cell]
Ti: 0.0000 0.0000 0.3024 [6 per cell]
In: 0.0000 0.0000 0.5000 [3 per cell]
Rh: 0.0000 0.0000 0.3989 [6 per cell]

- Energy of formation: -17.1 kJ/mol of atoms



Question: Look up the energy of formation of the third one.
Answer: 4.1 kJ/mol of atoms